[1]
Material: CuSn6Pd
Method: DFT, PBE
State: optimized geometry

Unit cell a=6.3009 b=6.2966 c=6.8016 alpha=62.24 beta=63.84 gamma=60.71
Closest atoms and distances in Å follow each position.
Sites, in units of the cell vectors:
Sn  0.7383  0.0291  0.7637  1 Cu 2.67, 1 Pd 2.71
Cu  0.0000  0.0000  0.0000  6 Sn 2.64-2.67
Sn  0.2617  0.9709  0.2363  1 Cu 2.67, 1 Pd 2.71
Sn  0.9608  0.5409  0.2661  1 Cu 2.67, 1 Pd 2.70
Pd  0.5000  0.5000  0.5000  6 Sn 2.69-2.71
Sn  0.0392  0.4591  0.7339  1 Cu 2.67, 1 Pd 2.70
Sn  0.4406  0.7403  0.7698  1 Cu 2.64, 1 Pd 2.69
Sn  0.5594  0.2597  0.2302  1 Cu 2.64, 1 Pd 2.69

The total magnetic moment is 0.00 Bohr magnetons per cell. As for the total DFT energy (no corrections): -33.73 eV per cell. For the density of states at the Fermi level, the calculation gives 0.408 states/eV/atom. For the volume, the calculation gives 200.2 Å³ per cell.

[2]
Material: Cu3SnPd6
Method: DFT, PBE
State: optimized geometry

Unit cell a=4.1739 b=8.0137 c=9.0659 alpha=98.98 beta=90.00 gamma=90.00
Closest atoms and distances in Å follow each position.
Sites, in units of the cell vectors:
Pd  0.2500  0.0593  0.9100  4 Cu 2.59-2.71, 1 Sn 2.66, 5 Pd 2.66-2.90
Cu  0.7500  0.6520  0.1849  8 Pd 2.59-2.68
Pd  0.2500  0.4644  0.1025  7 Cu 2.61-2.73, 3 Pd 2.72-2.91
Pd  0.7500  0.1623  0.7078  4 Cu 2.66-2.75, 3 Sn 2.81-2.96, 3 Pd 2.84-2.88
Pd  0.7500  0.9407  0.0900  4 Cu 2.59-2.71, 1 Sn 2.66, 5 Pd 2.66-2.90
Pd  0.2500  0.8377  0.2922  4 Cu 2.66-2.75, 3 Sn 2.81-2.96, 3 Pd 2.84-2.88
Cu  0.2500  0.7459  0.9871  10 Pd 2.63-2.88, 2 Cu 2.93
Pd  0.7500  0.8376  0.7961  8 Pd 2.66-2.84, 2 Sn 2.80, 2 Cu 2.88
Pd  0.7500  0.3803  0.3074  5 Cu 2.55-2.70, 1 Sn 2.69, 2 Pd 2.79
Sn  0.2500  0.9334  0.6210  10 Pd 2.66-2.96
Pd  0.2500  0.2567  0.5179  4 Cu 2.65-2.71, 3 Sn 2.77-2.89, 3 Pd 2.83-2.88
Pd  0.2500  0.6197  0.6926  5 Cu 2.55-2.70, 1 Sn 2.69, 2 Pd 2.79
Sn  0.7500  0.0666  0.3790  10 Pd 2.66-2.96
Cu  0.7500  0.2541  0.0129  10 Pd 2.63-2.88, 2 Cu 2.93
Cu  0.7500  0.4527  0.6001  8 Pd 2.55-2.71
Cu  0.2500  0.3480  0.8151  8 Pd 2.59-2.68
Pd  0.2500  0.1624  0.2039  8 Pd 2.66-2.84, 2 Sn 2.80, 2 Cu 2.88
Pd  0.7500  0.5356  0.8975  7 Cu 2.61-2.73, 3 Pd 2.72-2.91
Cu  0.2500  0.5473  0.3999  8 Pd 2.55-2.71
Pd  0.7500  0.7433  0.4821  4 Cu 2.65-2.71, 3 Sn 2.77-2.89, 3 Pd 2.83-2.88

The total magnetic moment is 0.00 Bohr magnetons per cell. The relative energy among the computed polymorphs is 0.00 eV/f.u. As for the total DFT energy (no corrections): -99.57 eV per cell. For the density of states at the Fermi level, the calculation gives 0.433 states/eV/atom. For the volume, the calculation gives 299.5 Å³ per cell.

[3]
Material: Cu2Sn2Pd
Method: DFT, PBE
State: optimized geometry

Unit cell a=7.4932 b=7.4932 c=3.2747 alpha=90.00 beta=90.00 gamma=90.00
Closest atoms and distances in Å follow each position.
Sites, in units of the cell vectors:
Pd  0.0000  0.0000  0.0000  4 Sn 2.76
Sn  0.8236  0.6764  0.0000  6 Cu 2.71-2.79, 2 Pd 2.76
Sn  0.1764  0.3236  0.0000  6 Cu 2.71-2.79, 2 Pd 2.76
Cu  0.1195  0.6195  0.5000  1 Cu 2.53, 6 Sn 2.71-2.79
Cu  0.6195  0.8805  0.5000  1 Cu 2.53, 6 Sn 2.71-2.79
Sn  0.6764  0.1764  0.0000  6 Cu 2.71-2.79, 2 Pd 2.76
Sn  0.3236  0.8236  0.0000  6 Cu 2.71-2.79, 2 Pd 2.76
Pd  0.5000  0.5000  0.0000  4 Sn 2.76
Cu  0.8805  0.3805  0.5000  1 Cu 2.53, 6 Sn 2.71-2.79
Cu  0.3805  0.1195  0.5000  1 Cu 2.53, 6 Sn 2.71-2.79

The total magnetic moment is 0.00 Bohr magnetons per cell. The relative energy among the computed polymorphs is 0.49 eV/f.u. As for the total DFT energy (no corrections): -42.32 eV per cell. For the density of states at the Fermi level, the calculation gives 0.411 states/eV/atom. For the volume, the calculation gives 183.9 Å³ per cell.

[4]
Material: Cu3Sn2Pd4
Method: DFT, PBE
State: optimized geometry

Unit cell a=4.1029 b=4.6804 c=8.2977 alpha=78.32 beta=89.99 gamma=64.00
Closest atoms and distances in Å follow each position.
Sites, in units of the cell vectors:
Pd  0.6646  0.6709  0.8906  4 Cu 2.74-2.83, 4 Sn 2.75-2.82, 4 Pd 2.90-2.93
Cu  0.6566  0.6882  0.5476  3 Cu 2.56-2.82, 1 Sn 2.69, 6 Pd 2.76-2.83
Sn  0.6763  0.6471  0.2286  5 Cu 2.69-2.96, 7 Pd 2.73-2.82
Cu  0.0000  0.0000  0.0000  8 Pd 2.74-2.76, 4 Sn 2.96
Pd  0.9895  0.0212  0.6677  3 Sn 2.73-2.75, 6 Cu 2.74-2.82, 3 Pd 2.83-2.93
Pd  0.0105  0.9788  0.3323  3 Sn 2.73-2.75, 6 Cu 2.74-2.82, 3 Pd 2.83-2.93
Cu  0.3434  0.3118  0.4524  3 Cu 2.56-2.82, 1 Sn 2.69, 6 Pd 2.76-2.83
Pd  0.3354  0.3291  0.1094  4 Cu 2.74-2.83, 4 Sn 2.75-2.82, 4 Pd 2.90-2.93
Sn  0.3237  0.3529  0.7714  5 Cu 2.69-2.96, 7 Pd 2.73-2.82

The total magnetic moment is 0.00 Bohr magnetons per cell. As for the total DFT energy (no corrections): -44.03 eV per cell. For the density of states at the Fermi level, the calculation gives 0.270 states/eV/atom. For the volume, the calculation gives 139.5 Å³ per cell.

- Look up the volume of the fourth one.
  139.5 Å³ per cell